Density functional theory data (PBE) for a relaxed structure of Tc2W.

Unit cell a=6.0213 b=6.0213 c=6.0213 alpha=90.00 beta=90.00 gamma=90.00
Space group Pa-3 (No. 205)
Unique sites:
Tc1 0.1196 0.1196 0.1196 (multiplicity 8)
W1 0.0000 0.0000 0.5000 (multiplicity 4)

## Properties
Formation enthalpy at 0 K in eV/atom: 1.222

Density functional theory data (PBE) for a relaxed structure of TcW2.

Unit cell a=5.3970 b=4.3896 c=7.9985 alpha=90.00 beta=90.00 gamma=90.00
Space group Pnma (No. 62)
Unique sites:
Tc1 0.1684 0.2500 0.0725 (multiplicity 4)
W1 0.0122 0.2500 0.7484 (multiplicity 4)
W2 0.1695 0.2500 0.4177 (multiplicity 4)

## Properties
Formation enthalpy at 0 K in eV/atom: 0.126

Density functional theory data (PBE) for a relaxed structure of TcW2.

Unit cell a=4.6212 b=4.6212 c=5.1740 alpha=90.00 beta=90.00 gamma=120.00
Space group P6_3/mmc (No. 194)
Unique sites:
Tc1 0.3333 0.6667 0.2500 (multiplicity 2)
W1 0.0000 0.0000 0.0000 (multiplicity 2)
W2 0.3333 0.6667 0.7500 (multiplicity 2)

## Properties
Formation enthalpy at 0 K in eV/atom: 0.343